[1]
# TlFeMo2

A relaxed structure of TlFeMo2 (GGA-PBEsol, Alexandria via LeMat-Bulk).

```
TlFeMo2
1.0
3.258 0.000 0.000
0.000 3.258 0.000
0.000 0.000 6.032
Fe Mo Tl
1 2 1
Direct
0.500 0.500 0.780
0.000 0.000 0.996
0.500 0.500 0.208
0.000 0.000 0.515
```

space-group type	P4mm (99)
excess energy over the best structure of this formula in the dataset	0.000	eV/atom

[2]
# TlFeMo2

A relaxed structure of TlFeMo2 (GGA-PBEsol, Alexandria via LeMat-Bulk).

```
TlFeMo2
1.0
-1.101 0.447 -2.635
2.949 -3.444 -1.816
-4.325 -1.685 1.521
Fe Mo Tl
1 2 1
Direct
0.500 0.500 0.500
0.000 0.500 0.000
0.000 0.000 0.500
0.500 0.000 0.000
```

space-group type	Cmmm (65)
excess energy over the best structure of this formula in the dataset	0.229	eV/atom

[3]
# TlFe2Mo

A relaxed structure of TlFe2Mo (GGA-PBEsol, Alexandria via LeMat-Bulk).

```
TlFe2Mo
1.0
3.065 0.000 0.000
0.000 3.065 0.000
0.000 0.000 6.276
Fe Mo Tl
2 1 1
Direct
0.500 0.500 0.050
0.000 0.000 0.235
0.500 0.500 0.445
0.000 0.000 0.770
```

space-group type	P4mm (99)
E	-7.665	eV/atom

[4]
# TlFeMo2

A relaxed structure of TlFeMo2 (GGA-PBEsol, Alexandria via LeMat-Bulk).

```
TlFeMo2
1.0
2.847 0.000 0.000
1.424 2.466 0.000
1.424 0.822 8.985
Fe Mo Tl
1 2 1
Direct
0.000 0.000 0.000
0.260 0.260 0.220
0.740 0.740 0.780
0.500 0.500 0.500
```

space-group type	R-3m (166)
excess energy over the best structure of this formula in the dataset	0.194	eV/atom